## i
# BeTlCo2 PBE relaxed
data_BeTlCo2
_space_group_name_H-M_alt 'P 1'
_space_group_IT_number 1
_space_group_name_Hall 'P 1'
_cell_length_a 3.807
_cell_length_b 3.807
_cell_length_c 3.588
_cell_angle_alpha 90.00
_cell_angle_beta 90.00
_cell_angle_gamma 90.00
loop_
_atom_site_label
_atom_site_type_symbol
_atom_site_fract_x
_atom_site_fract_y
_atom_site_fract_z
Be1 Be 0.000 0.000 0.000
Tl1 Tl 0.500 0.500 0.000
Co1 Co 0.000 0.500 0.500
Co2 Co 0.500 0.000 0.500
# SG   P4/mmm (123)
# DOS at the Fermi energy   6.33 states/eV/cell

## ii
# BeTlCo2 PBE relaxed
data_BeTlCo2
_space_group_name_H-M_alt 'P 1'
_space_group_IT_number 1
_space_group_name_Hall 'P 1'
_cell_length_a 4.194
_cell_length_b 4.194
_cell_length_c 5.080
_cell_angle_alpha 97.87
_cell_angle_beta 97.87
_cell_angle_gamma 39.78
loop_
_atom_site_label
_atom_site_type_symbol
_atom_site_fract_x
_atom_site_fract_y
_atom_site_fract_z
Be1 Be 0.000 0.000 0.000
Tl1 Tl 0.777 0.777 0.352
Co1 Co 0.271 0.271 0.864
Co2 Co 0.535 0.535 0.686
# SG   Cm (8)
# DOS at the Fermi energy   4.49 states/eV/cell

Which of them is the most stable? Correct choice: ii.

## i
# BeTlCo2 PBE relaxed
data_BeTlCo2
_space_group_name_H-M_alt 'P 1'
_space_group_IT_number 1
_space_group_name_Hall 'P 1'
_cell_length_a 2.817
_cell_length_b 3.435
_cell_length_c 5.521
_cell_angle_alpha 90.00
_cell_angle_beta 99.18
_cell_angle_gamma 90.00
loop_
_atom_site_label
_atom_site_type_symbol
_atom_site_fract_x
_atom_site_fract_y
_atom_site_fract_z
Be1 Be 0.000 0.000 0.000
Tl1 Tl 0.000 0.000 0.500
Co1 Co 0.378 0.500 0.190
Co2 Co 0.622 0.500 0.810
# SG   P2/m (10)
# DOS at the Fermi energy   4.54 states/eV/cell

## ii
# BeTlCo2 PBE relaxed
data_BeTlCo2
_space_group_name_H-M_alt 'P 1'
_space_group_IT_number 1
_space_group_name_Hall 'P 1'
_cell_length_a 2.957
_cell_length_b 2.957
_cell_length_c 6.205
_cell_angle_alpha 90.00
_cell_angle_beta 90.00
_cell_angle_gamma 90.00
loop_
_atom_site_label
_atom_site_type_symbol
_atom_site_fract_x
_atom_site_fract_y
_atom_site_fract_z
Be1 Be 0.000 0.000 0.000
Tl1 Tl 0.500 0.500 0.669
Co1 Co 0.000 0.000 0.359
Co2 Co 0.500 0.500 0.138
# SG   P4mm (99)
# DOS at the Fermi energy   2.03 states/eV/cell

Which of them is the most stable? Correct choice: ii.

## i
# BeTlCo2 PBE relaxed
data_BeTlCo2
_space_group_name_H-M_alt 'P 1'
_space_group_IT_number 1
_space_group_name_Hall 'P 1'
_cell_length_a 4.708
_cell_length_b 4.708
_cell_length_c 4.708
_cell_angle_alpha 141.59
_cell_angle_beta 125.51
_cell_angle_gamma 68.62
loop_
_atom_site_label
_atom_site_type_symbol
_atom_site_fract_x
_atom_site_fract_y
_atom_site_fract_z
Be1 Be 0.000 0.000 0.000
Tl1 Tl 0.500 0.500 0.000
Co1 Co 0.212 0.712 0.500
Co2 Co 0.788 0.288 0.500
# SG   Immm (71)
# DOS at the Fermi energy   4.57 states/eV/cell

## ii
# BeTlCo2 PBE relaxed
data_BeTlCo2
_space_group_name_H-M_alt 'P 1'
_space_group_IT_number 1
_space_group_name_Hall 'P 1'
_cell_length_a 3.858
_cell_length_b 3.858
_cell_length_c 5.119
_cell_angle_alpha 111.33
_cell_angle_beta 111.33
_cell_angle_gamma 60.00
loop_
_atom_site_label
_atom_site_type_symbol
_atom_site_fract_x
_atom_site_fract_y
_atom_site_fract_z
Be1 Be 0.000 0.000 0.000
Tl1 Tl 0.500 0.500 0.500
Co1 Co 0.310 0.310 0.927
Co2 Co 0.690 0.690 0.073
# SG   C2/m (12)
# DOS at the Fermi energy   3.13 states/eV/cell

## iii
# BeTlCo2 PBE relaxed
data_BeTlCo2
_space_group_name_H-M_alt 'P 1'
_space_group_IT_number 1
_space_group_name_Hall 'P 1'
_cell_length_a 4.483
_cell_length_b 4.483
_cell_length_c 4.483
_cell_angle_alpha 129.23
_cell_angle_beta 129.23
_cell_angle_gamma 74.64
loop_
_atom_site_label
_atom_site_type_symbol
_atom_site_fract_x
_atom_site_fract_y
_atom_site_fract_z
Be1 Be 0.000 0.000 0.000
Tl1 Tl 0.750 0.250 0.500
Co1 Co 0.250 0.750 0.500
Co2 Co 0.500 0.500 0.000
# SG   I-4m2 (119)
# DOS at the Fermi energy   5.28 states/eV/cell

Which of them is the most stable? Correct choice: ii.

## i
# BeTlCo PBE relaxed
data_BeTlCo
_space_group_name_H-M_alt 'P 1'
_space_group_IT_number 1
_space_group_name_Hall 'P 1'
_cell_length_a 5.154
_cell_length_b 5.154
_cell_length_c 5.154
_cell_angle_alpha 145.90
_cell_angle_beta 145.90
_cell_angle_gamma 49.00
loop_
_atom_site_label
_atom_site_type_symbol
_atom_site_fract_x
_atom_site_fract_y
_atom_site_fract_z
Be1 Be 0.000 0.000 0.000
Tl1 Tl 0.720 0.720 0.000
Co1 Co 0.428 0.428 0.000
# SG   I4mm (107)
# DOS at the Fermi energy   1.16 states/eV/cell

## ii
# BeTlCo PBE relaxed
data_BeTlCo
_space_group_name_H-M_alt 'P 1'
_space_group_IT_number 1
_space_group_name_Hall 'P 1'
_cell_length_a 3.000
_cell_length_b 3.000
_cell_length_c 6.037
_cell_angle_alpha 90.00
_cell_angle_beta 90.00
_cell_angle_gamma 120.00
loop_
_atom_site_label
_atom_site_type_symbol
_atom_site_fract_x
_atom_site_fract_y
_atom_site_fract_z
Be1 Be 0.000 0.000 0.000
Tl1 Tl 0.333 0.667 0.598
Co1 Co 0.667 0.333 0.227
# SG   P3m1 (156)
# DOS at the Fermi energy   2.76 states/eV/cell

## iii
# BeTlCo PBE relaxed
data_BeTlCo
_space_group_name_H-M_alt 'P 1'
_space_group_IT_number 1
_space_group_name_Hall 'P 1'
_cell_length_a 3.973
_cell_length_b 3.973
_cell_length_c 3.973
_cell_angle_alpha 60.00
_cell_angle_beta 60.00
_cell_angle_gamma 60.00
loop_
_atom_site_label
_atom_site_type_symbol
_atom_site_fract_x
_atom_site_fract_y
_atom_site_fract_z
Be1 Be 0.000 0.000 0.000
Tl1 Tl 0.750 0.750 0.750
Co1 Co 0.250 0.250 0.250
# SG   F-43m (216)
# DOS at the Fermi energy   1.70 states/eV/cell

Which of them is the most stable? Correct choice: i.

## i
# BeTl3Co PBE relaxed
data_BeTl3Co
_space_group_name_H-M_alt 'P 1'
_space_group_IT_number 1
_space_group_name_Hall 'P 1'
_cell_length_a 4.950
_cell_length_b 4.950
_cell_length_c 4.950
_cell_angle_alpha 90.00
_cell_angle_beta 90.00
_cell_angle_gamma 90.00
loop_
_atom_site_label
_atom_site_type_symbol
_atom_site_fract_x
_atom_site_fract_y
_atom_site_fract_z
Be1 Be 0.000 0.000 0.000
Tl1 Tl 0.000 0.000 0.500
Tl2 Tl 0.000 0.500 0.000
Tl3 Tl 0.500 0.000 0.000
Co1 Co 0.500 0.500 0.500
# SG   Pm-3m (221)
# DOS at the Fermi energy   11.82 states/eV/cell

## ii
# BeTl3Co PBE relaxed
data_BeTl3Co
_space_group_name_H-M_alt 'P 1'
_space_group_IT_number 1
_space_group_name_Hall 'P 1'
_cell_length_a 5.073
_cell_length_b 5.073
_cell_length_c 5.073
_cell_angle_alpha 90.00
_cell_angle_beta 90.00
_cell_angle_gamma 90.00
loop_
_atom_site_label
_atom_site_type_symbol
_atom_site_fract_x
_atom_site_fract_y
_atom_site_fract_z
Be1 Be 0.000 0.000 0.000
Tl1 Tl 0.000 0.500 0.500
Tl2 Tl 0.500 0.000 0.500
Tl3 Tl 0.500 0.500 0.000
Co1 Co 0.500 0.500 0.500
# SG   Pm-3m (221)
# DOS at the Fermi energy   2.18 states/eV/cell

Which of them is the most stable? Correct choice: ii.

## i
# TmBe2Co2 PBE relaxed
data_TmBe2Co2
_space_group_name_H-M_alt 'P 1'
_space_group_IT_number 1
_space_group_name_Hall 'P 1'
_cell_length_a 10.096
_cell_length_b 10.096
_cell_length_c 10.096
_cell_angle_alpha 159.40
_cell_angle_beta 159.40
_cell_angle_gamma 29.29
loop_
_atom_site_label
_atom_site_type_symbol
_atom_site_fract_x
_atom_site_fract_y
_atom_site_fract_z
Tm1 Tm 0.126 0.126 0.000
Tm2 Tm 0.874 0.874 0.000
Be1 Be 0.000 0.500 0.500
Be2 Be 0.314 0.314 0.000
Be3 Be 0.500 0.000 0.500
Be4 Be 0.686 0.686 0.000
Co1 Co 0.250 0.750 0.500
Co2 Co 0.435 0.435 0.000
Co3 Co 0.565 0.565 0.000
Co4 Co 0.750 0.250 0.500
# SG   I4/mmm (139)
# DOS at the Fermi energy   7.54 states/eV/cell

## ii
# TmBe2Co2 PBE relaxed
data_TmBe2Co2
_space_group_name_H-M_alt 'P 1'
_space_group_IT_number 1
_space_group_name_Hall 'P 1'
_cell_length_a 4.983
_cell_length_b 4.983
_cell_length_c 4.983
_cell_angle_alpha 133.67
_cell_angle_beta 133.67
_cell_angle_gamma 67.61
loop_
_atom_site_label
_atom_site_type_symbol
_atom_site_fract_x
_atom_site_fract_y
_atom_site_fract_z
Tm1 Tm 0.000 0.000 0.000
Be1 Be 0.355 0.355 0.000
Be2 Be 0.645 0.645 0.000
Co1 Co 0.250 0.750 0.500
Co2 Co 0.750 0.250 0.500
# SG   I4/mmm (139)
# DOS at the Fermi energy   2.23 states/eV/cell

Which of them is the most stable? Correct choice: ii.